A plane-wave DFT calculation with PBE was carried out for a relaxed LiTc crystal.

Calculated formation energy ... 2.58 eV/atom
Spin magnetization ... 1.74 μB per atom
Distance to the lowest polymorph of the same formula ... 2486 meV per atom

Cell lengths 7.0170, 7.0170, 7.0170 Å; angles 90.00, 90.00, 90.00 degrees
Closest atoms and distances in Å follow each position.
Space group Pm-3n (No. 223)
Symmetry-distinct sites (fractional):
Li 0.0000 0.2500 0.5000 [6 per cell]  4 Tc 2.48
Tc 0.0000 0.5000 0.2500 [6 per cell]  4 Li 2.48

A plane-wave DFT calculation with PBE was carried out for a relaxed NaCaV crystal.

Calculated formation energy ... 0.53 eV/atom
Spin magnetization ... 0.00 μB per atom
Distance to the lowest polymorph of the same formula ... 257 meV per atom

Cell lengths 4.1819, 6.1149, 7.8184 Å; angles 79.58, 89.05, 70.09 degrees
Closest atoms and distances in Å follow each position.
Space group P1 (No. 1)
Symmetry-distinct sites (fractional):
Na 0.0000 0.0000 0.0000 [1 per cell]  1 V 3.08, 3 Na 3.25-3.38
Na 0.3196 0.4022 0.0986 [1 per cell]  3 V 3.25-3.37, 3 Na 3.25-3.38
Ca 0.3908 0.2039 0.6302 [1 per cell]  5 V 3.14-3.51
Ca 0.6276 0.7248 0.3767 [1 per cell]  3 V 3.14-3.34
V 0.0925 0.7251 0.6983 [1 per cell]  1 V 1.84
V 0.7375 0.6303 0.7837 [1 per cell]  1 V 1.84

A plane-wave DFT calculation with PBE was carried out for a relaxed TcTeRh2 crystal.

Raw formation energy ... 138.6 meV per atom
Spin magnetization ... 0.00 μB per atom

Cell lengths 3.9538, 3.9538, 4.0463 Å; angles 90.00, 90.00, 90.00 degrees
Closest atoms and distances in Å follow each position.
Space group P4/mmm (No. 123)
Symmetry-distinct sites (fractional):
Tc 0.0000 0.0000 0.0000 [1 per cell]  4 Te 2.80, 8 Rh 2.83
Te 0.5000 0.5000 0.0000 [1 per cell]  4 Tc 2.80, 8 Rh 2.83
Rh 0.0000 0.5000 0.5000 [2 per cell]  4 Rh 2.80, 4 Tc 2.83, 4 Te 2.83

What did the third record say?
A plane-wave DFT calculation with PBE was carried out for a relaxed TcTeRh2 crystal.

Raw formation energy ... 138.6 meV per atom
Spin magnetization ... 0.00 μB per atom

Cell lengths 3.9538, 3.9538, 4.0463 Å; angles 90.00, 90.00, 90.00 degrees
Closest atoms and distances in Å follow each position.
Space group P4/mmm (No. 123)
Symmetry-distinct sites (fractional):
Tc 0.0000 0.0000 0.0000 [1 per cell]  4 Te 2.80, 8 Rh 2.83
Te 0.5000 0.5000 0.0000 [1 per cell]  4 Tc 2.80, 8 Rh 2.83
Rh 0.0000 0.5000 0.5000 [2 per cell]  4 Rh 2.80, 4 Tc 2.83, 4 Te 2.83

> Among the records above, which one has the highest spin magnetization?

LiTc